The following is a DFT calculation (PBE) of a geometry-optimized Nd2Al3Zn6 structure.

Unit cell a=10.140 b=10.676 c=4.072 alpha=90.00 beta=90.00 gamma=90.00
Space group Cmmm (No. 65)
Asymmetric unit:
Nd (0.000, 0.219, 0.000) [4 per cell]
Al (0.000, 0.500, 0.500) [2 per cell]
Al (0.204, 0.500, 0.000) [4 per cell]
Zn (0.115, 0.000, 0.500) [4 per cell]
Zn (0.197, 0.348, 0.500) [8 per cell]

- Density of states at the Fermi level: 4.4 states/eV/f.u.
- DFT total energy: -2.79 eV/atom